Compound: Li2MnSnF6
Source: Alexandria
Functional: GGA+U
Structure: relaxed

Cell and atoms, written as POSCAR:
```
Li2MnSnF6
1.0
2.752 1.589 4.801
-2.752 1.589 4.801
0.000 -3.177 4.801
Li Mn Sn F
2 1 1 6
Cartesian
0.000 0.000 0.000
0.000 0.000 7.171
0.000 0.000 2.996
0.000 0.000 10.371
-1.667 0.458 6.284
-0.916 -1.422 8.677
0.437 -1.673 6.284
-0.774 1.504 8.677
1.230 1.214 6.284
1.689 -0.082 8.677
```

Values from the calculation:
Total DFT energy (no corrections): -5.28 eV per atom
D(E_F): 0.0 states/eV/f.u.